# Ca5PaPt4 PBE optimized geometry
data_Ca5PaPt4
_cell_length_a 4.703
_cell_length_b 7.240
_cell_length_c 9.881
_cell_angle_alpha 125.56
_cell_angle_beta 103.77
_cell_angle_gamma 90.01
_space_group_name_H-M_alt 'P 1'
_space_group_IT_number 1
_space_group_name_Hall 'P 1'
loop_
_atom_site_label
_atom_site_type_symbol
_atom_site_fract_x
_atom_site_fract_y
_atom_site_fract_z
_atom_site_occupancy
Ca1 Ca 0.835 0.223 0.671 1
Ca2 Ca 0.500 0.500 0.000 1
Ca3 Ca 0.824 0.707 0.648 1
Ca4 Ca 0.176 0.293 0.352 1
Ca5 Ca 0.165 0.777 0.329 1
Pt1 Pt 0.646 0.020 0.292 1
Pt2 Pt 0.354 0.980 0.708 1
Pt3 Pt 0.994 0.766 0.988 1
Pt4 Pt 0.006 0.234 0.012 1
Pa1 Pa 0.500 0.000 0.000 1
# ΔH_f (0 K) = -0.80 eV per atom
# theoretical density = 7.7 g cm⁻³